# 1
The following is a PBE calculation of a relaxed structure of La14PmGa, from Alexandria via LeMat-Bulk.

abc: 10.313 7.320 7.320
angles: 90.05 90.00 90.00
Atoms (fractional coordinates):
La  0.000  0.000  0.000
La  0.000  0.000  0.498
La  0.000  0.498  0.000
La  0.000  0.499  0.499
La  0.260  0.736  0.736
La  0.261  0.262  0.736
La  0.261  0.736  0.262
La  0.262  0.262  0.262
La  0.500  0.500  0.997
La  0.500  0.997  0.500
La  0.738  0.262  0.262
La  0.739  0.262  0.736
La  0.739  0.736  0.262
La  0.740  0.736  0.736
Pm  0.500  0.999  0.999
Ga  0.500  0.500  0.500

---

# 2
The following is a PBE calculation of a relaxed structure of LaPm2Ga, from Alexandria via LeMat-Bulk.

Properties
energy above the most stable polymorph in this dataset	0	meV per atom

abc: 3.626 3.626 9.174
angles: 90.00 90.00 90.00
Atoms (fractional coordinates):
La  0.000  0.000  0.000
Pm  0.500  0.500  0.294
Pm  0.500  0.500  0.706
Ga  0.000  0.000  0.500

---

# 3
The following is a PBE calculation of a relaxed structure of LaPm2Ga, from Alexandria via LeMat-Bulk.

Properties
energy above the most stable polymorph in this dataset	212	meV per atom

abc: 11.686 11.686 11.686
angles: 17.71 17.71 17.71
Atoms (fractional coordinates):
La  0.000  0.000  0.000
Pm  0.103  0.103  0.103
Pm  0.897  0.897  0.897
Ga  0.500  0.500  0.500

---

# 4
The following is a PBE calculation of a relaxed structure of LaPmGa2, from Alexandria via LeMat-Bulk.

abc: 3.721 3.721 7.434
angles: 90.00 90.00 90.00
Atoms (fractional coordinates):
La  0.000  0.000  0.000
Pm  0.000  0.000  0.500
Ga  0.500  0.500  0.263
Ga  0.500  0.500  0.737

---

# 5
The following is a PBE calculation of a relaxed structure of LaPm2Ga6, from Alexandria via LeMat-Bulk.

Properties
energy above the most stable polymorph in this dataset	204	meV per atom

abc: 7.919 7.919 7.919
angles: 147.30 124.96 65.51
Atoms (fractional coordinates):
La  0.000  0.000  0.000
Pm  0.371  0.871  0.500
Pm  0.629  0.129  0.500
Ga  0.013  0.320  0.694
Ga  0.320  0.500  0.820
Ga  0.374  0.680  0.694
Ga  0.626  0.320  0.306
Ga  0.680  0.500  0.180
Ga  0.987  0.680  0.306

---

# 6
The following is a PBE calculation of a relaxed structure of La3Pm3Ga4, from Alexandria via LeMat-Bulk.

abc: 4.535 7.907 7.907
angles: 89.32 90.00 90.00
Atoms (fractional coordinates):
La  0.000  0.000  0.000
La  0.500  0.324  0.832
La  0.500  0.832  0.324
Pm  0.000  0.156  0.504
Pm  0.000  0.504  0.156
Pm  0.000  0.652  0.652
Ga  0.500  0.218  0.218
Ga  0.500  0.448  0.448
Ga  0.500  0.706  0.942
Ga  0.500  0.942  0.706

---

# 7
The following is a PBE calculation of a relaxed structure of La8PmGa2, from Alexandria via LeMat-Bulk.

Properties
energy above the most stable polymorph in this dataset	37	meV per atom

abc: 8.585 8.585 6.013
angles: 100.64 100.64 116.86
Atoms (fractional coordinates):
La  0.078  0.310  0.582
La  0.237  0.763  0.000
La  0.310  0.078  0.582
La  0.404  0.404  0.201
La  0.596  0.596  0.799
La  0.690  0.922  0.418
La  0.763  0.237  0.000
La  0.922  0.690  0.418
Pm  0.000  0.000  0.000
Ga  0.307  0.693  0.500
Ga  0.693  0.307  0.500

---

# 8
The following is a PBE calculation of a relaxed structure of LaPm2Ga, from Alexandria via LeMat-Bulk.

Properties
energy above the most stable polymorph in this dataset	178	meV per atom

abc: 6.530 6.530 6.530
angles: 45.53 45.53 45.53
Atoms (fractional coordinates):
La  0.000  0.000  0.000
Pm  0.557  0.557  0.557
Pm  0.783  0.783  0.783
Ga  0.192  0.192  0.192

---

Let's list calculated formation energy in order: -0.77 -1.05 -0.20 -2.29 -4.36 -4.80 -1.47 -0.33 eV/f.u..